(1)
A relaxed structure of BaNi4SnP2, computed with GGA-PBE.

VASP energy: -5.501 eV per atom
SG: P4/mmm, No. 123
total magnetic moment: 0.000 μB/atom
DOS at the Fermi energy: 5.53 states/eV/f.u.
theoretical density: 6.4 g/cm³
energy of formation from the pure elements: -4.1 eV per formula unit

a = 3.793 Å, b = 3.793 Å, c = 9.909 Å
α = 90.00°, β = 90.00°, γ = 90.00°
Sites, in units of the cell vectors:
Ba1 0.000 0.000 0.500
Ni1 0.500 0.000 0.186
P1 0.500 0.500 0.298
P2 0.500 0.500 0.702
Ni2 0.000 0.500 0.186
Sn1 0.000 0.000 0.000
Ni3 0.000 0.500 0.814
Ni4 0.500 0.000 0.814


(2)
A relaxed structure of Zn2OsNO, computed with GGA-PBE.

VASP energy: -4.749 eV per atom
SG: P4/mmm, No. 123
energy relative to the elements, uncorrected: 0.66 eV/atom
total magnetic moment: 0.118 μB/atom
DOS at the Fermi energy: 2.98 states/eV/f.u.
theoretical density: 8.6 g/cm³

a = 4.239 Å, b = 3.759 Å, c = 4.239 Å
α = 90.00°, β = 90.00°, γ = 90.00°
Site moments in Bohr magnetons follow the coordinates.
Sites, in units of the cell vectors:
Zn1 0.000 0.000 0.500  0.01
O1 0.500 0.500 0.500  0.25
N1 0.000 0.000 0.000  -0.01
Zn2 0.500 0.000 0.000  -0.01
Os1 0.000 0.500 0.000  0.30